# 1
Below is SrSiOs after structural relaxation, with properties calculated at the PBE-GGA level.

Cell: 4.7544 4.7544 4.7544 Å, 60.00 60.00 60.00°
With the nearest neighbours (Å) after each atom.
Element x y z (fractional)
Si  0.7500  0.7500  0.7500  4 Sr 2.91
Os  0.2500  0.2500  0.2500  4 Sr 2.91
Sr  0.0000  0.0000  0.0000  4 Si 2.91, 4 Os 2.91

SG: F-43m, No. 216
Magnetic moment in μB/cell: 0.08

# 2
Below is SrSiOs after structural relaxation, with properties calculated at the PBE-GGA level.

Cell: 4.5181 4.5181 4.5181 Å, 60.00 60.00 60.00°
With the nearest neighbours (Å) after each atom.
Element x y z (fractional)
Os  0.2500  0.2500  0.2500  4 Si 2.77
Sr  0.7500  0.7500  0.7500  4 Si 2.77
Si  0.0000  0.0000  0.0000  4 Os 2.77, 4 Sr 2.77

SG: F-43m, No. 216
Magnetic moment in μB/cell: 0.01

# 3
Below is SrTmSi4Os2 after structural relaxation, with properties calculated at the PBE-GGA level.

Cell: 4.5168 4.0655 8.2897 Å, 90.00 102.05 90.00°
With the nearest neighbours (Å) after each atom.
Element x y z (fractional)
Os  0.8868  0.0000  0.1199  5 Si 2.34-2.45
Os  0.1240  0.5000  0.8900  5 Si 2.38-2.44
Si  0.0341  0.5000  0.5894  1 Os 2.44, 2 Si 2.51
Si  0.9611  0.0000  0.4077  1 Os 2.34, 2 Si 2.51
Si  0.6697  0.5000  0.9959  4 Os 2.39-2.44, 2 Si 2.54
Si  0.3386  0.0000  0.0118  4 Os 2.38-2.45, 2 Si 2.54
Sr  0.5798  0.0000  0.6953  9 Si 3.04-3.27, 2 Os 3.34
Tm  0.4059  0.5000  0.2899  8 Si 2.93-3.28, 2 Os 3.20

SG: Pm, No. 6
Magnetic moment in μB/cell: 0.01

We obtain energy values of -4.297, -5.490, -6.861 eV/atom for the records listed above, in that order.